Material: BWO3
Method: DFT, PBE+U
State: relaxed

Final energy   -31.52 eV per cell
Crystal system   cubic

Lattice parameters (Å, degrees): 3.441 3.441 3.441 90.00 90.00 90.00
Positions (direct):
B: 0.000 0.000 0.000
W: 0.500 0.500 0.500
O: 0.000 0.000 0.500
O: 0.000 0.500 0.000
O: 0.500 0.000 0.000